V2Ge2Ru after structural relaxation. Source: Alexandria via LeMat-Bulk, functional GGA-PBE.

Cell: 6.4497 6.4497 3.4702 Å, 90.00 90.00 90.00°
Positions (direct):
V1 0.1622 0.3378 0.0000
V2 0.3378 0.8378 0.0000
V3 0.6622 0.1622 0.0000
V4 0.8378 0.6622 0.0000
Ge1 0.1388 0.6388 0.5000
Ge2 0.3612 0.1388 0.5000
Ge3 0.6388 0.8612 0.5000
Ge4 0.8612 0.3612 0.5000
Ru1 0.0000 0.0000 0.5000
Ru2 0.5000 0.5000 0.5000

- ΔE_f: -0.151 eV/atom
- Polymorph energy (0 for the lowest one): 1.97 kcal/mol of atoms
- Crystal system: tetragonal

=====

DyGeRh2 after structural relaxation. Source: Alexandria via LeMat-Bulk, functional GGA-PBE.

Cell: 4.3138 4.3138 3.6427 Å, 90.00 90.00 90.00°
Positions (direct):
Dy1 0.0000 0.0000 0.0000
Ge1 0.5000 0.5000 0.0000
Rh1 0.0000 0.5000 0.5000
Rh2 0.5000 0.0000 0.5000

- ΔE_f: -0.731 eV/atom
- Crystal system: tetragonal

=====

MgTeMo after structural relaxation. Source: Alexandria via LeMat-Bulk, functional GGA-PBE.

Cell: 4.6022 4.6022 3.3828 Å, 90.00 90.00 120.00°
Positions (direct):
Mg1 0.0000 0.0000 0.0000
Te1 0.3333 0.6667 0.5000
Mo1 0.6667 0.3333 0.5000

- Formation energy (no corrections): 0.36 eV per atom
- Polymorph energy (0 for the lowest one): 7.06 kcal/mol of atoms
- Crystal system: hexagonal